A relaxed IrPb2W crystal. Source: Alexandria via LeMat-Bulk, functional GGA-PBEsol.

Lattice parameters (Å, degrees): 3.1637 4.6396 5.3517 90.00 90.00 90.00
With the nearest neighbours (Å) after each atom.
Space group Pmmm (No. 47)
Symmetry-distinct sites (fractional):
Ir1 0.0000 0.0000 0.0000  4 Pb 2.81, 4 W 3.11
Pb1 0.0000 0.5000 0.5000  4 W 2.81, 4 Pb 3.11
Pb2 0.5000 0.5000 0.0000  4 Ir 2.81, 4 Pb 3.11
W1 0.5000 0.0000 0.5000  4 Pb 2.81, 4 Ir 3.11

Output
DOS at the Fermi energy: 4.78 states/eV/f.u.
Distance to the lowest polymorph of the same formula: 759 meV/atom
ΔE_f: 24.20 kcal/mol of atoms
DFT total energy: -27.4 eV per cell